The following is a GGA-PBE calculation of an optimized crystal structure of ScVReMo, from Alexandria.

Symmetry   F-43m, No. 216
DFT formation energy   -2 meV/atom
Electronic total energy   -9.68 eV per atom

a = 4.471 Å, b = 4.471 Å, c = 4.471 Å
α = 60.00°, β = 60.00°, γ = 60.00°
Fractional coordinates of all 4 atoms:
Re1 0.000 0.000 0.000
Sc1 0.500 0.500 0.500
Mo1 0.250 0.250 0.250
V1 0.750 0.750 0.750